DFT (PBE) results for a geometry-optimized Nd4DyY7 structure.

abc: 6.776 6.776 12.922
angles: 65.42 65.42 51.91
Element x y z (fractional)
Nd: 0.359 0.359 0.777
Nd: 0.214 0.214 0.339
Nd: 0.786 0.786 0.661
Nd: 0.641 0.641 0.223
Y: 0.789 0.789 0.923
Y: 0.367 0.367 0.493
Y: 0.211 0.211 0.077
Y: 0.633 0.633 0.507
Y: 0.072 0.072 0.694
Y: 0.928 0.928 0.306
Y: 0.500 0.500 0.000
Dy: 0.000 0.000 0.000

The calculation puts the offset from the most stable computed form at 0.000 eV/atom. Its formation energy from the elements is 0.27 eV/atom. As for the density of states at the Fermi level: 21.18 states/eV per cell.



DFT (PBE) results for a geometry-optimized Nd4Dy5Y structure.

abc: 5.991 8.139 8.139
angles: 82.22 68.41 68.41
Element x y z (fractional)
Nd: 0.454 0.676 0.324
Nd: 0.454 0.324 0.676
Nd: 0.130 0.324 0.324
Nd: 0.778 0.676 0.676
Y: 0.215 0.000 0.000
Dy: 0.137 0.622 0.000
Dy: 0.137 0.000 0.622
Dy: 0.759 0.378 0.000
Dy: 0.690 0.000 0.000
Dy: 0.759 0.000 0.378

The calculation puts the offset from the most stable computed form at 0.137 eV/atom. Its formation energy from the elements is 0.24 eV/atom. As for the density of states at the Fermi level: 13.11 states/eV per cell.